[1]
A relaxed structure of YAl2Ir. Source: the Alexandria database, functional PBE-GGA.

POSCAR file:
```
YAl2Ir
1.0
4.0476 0.0000 0.0000
0.0000 4.0826 -0.0036
0.0000 4.0811 4.3890
Ir Al Y
1 2 1
Direct
0.5000 0.5000 0.5000 Ir
0.5000 0.5000 0.0000 Al
0.0000 0.0000 0.0000 Al
0.0000 0.0000 0.5000 Y
```

Properties
**Symmetry**: P2/m
**Formation energy from the elements**: -190.8 kJ/mol of formula units
**Electronic total energy**: -6.197 eV per atom

[2]
A relaxed structure of YSiP2. Source: the Alexandria database, functional PBE-GGA.

POSCAR file:
```
YSiP2
1.0
-2.8243 1.5868 1.9952
1.8847 -0.7056 3.2289
2.6160 5.1587 -0.3997
Si P Y
1 2 1
Direct
0.0000 0.0000 0.3062 Si
0.0000 0.0000 0.9085 P
0.5000 0.5000 0.3903 P
0.5000 0.5000 0.8950 Y
```

Properties
**Symmetry**: P4mm
**Electronic total energy**: -6.218 eV per atom
**Energy relative to the elements, uncorrected**: -0.541 eV per atom

[3]
A relaxed structure of Re3As. Source: the Alexandria database, functional PBE-GGA.

POSCAR file:
```
Re3As
1.0
-4.1335 2.0635 -2.0681
0.4674 -5.0231 -0.4135
1.6467 2.0760 4.3127
Re As
3 1
Direct
0.0000 0.5000 0.5000 Re
0.5000 0.0000 0.5000 Re
0.5000 0.5000 0.0000 Re
0.0000 0.0000 0.0000 As
```

Properties
**Symmetry**: R-3m
**Formation energy from the elements**: 218.9 kJ/mol of formula units
**Electronic total energy**: -9.931 eV per atom
**Excess energy over the best structure of this formula in the dataset**: 157.9 kJ/mol of formula units

[4]
A relaxed structure of Be2FeTe. Source: the Alexandria database, functional PBE-GGA.

POSCAR file:
```
Be2FeTe
1.0
3.8501 0.0364 0.0000
-0.4611 3.8226 0.0000
0.0000 0.0000 3.4912
Be Te Fe
2 1 1
Direct
0.0000 0.0000 0.0000 Be
0.5000 0.5000 0.0000 Be
0.0000 0.5000 0.5000 Te
0.5000 0.0000 0.5000 Fe
```

Properties
**Symmetry**: Cmmm
**Electronic total energy**: -4.271 eV per atom
**Energy relative to the elements, uncorrected**: 0.493 eV per atom

[5]
A relaxed structure of Li2PuCl6. Source: the Alexandria database, functional PBE-GGA.

POSCAR file:
```
Li2PuCl6
1.0
-5.4098 -2.1121 2.2305
-2.1906 -0.5142 -5.7999
3.9903 -10.8010 -0.5495
Cl Li Pu
12 4 2
Direct
0.6979 0.6979 0.1676 Cl
0.1979 0.8021 0.6676 Cl
0.7987 0.2013 0.0000 Cl
0.2987 0.2987 0.5000 Cl
0.6979 0.6979 0.8324 Cl
0.3021 0.3021 0.1676 Cl
0.3021 0.3021 0.8324 Cl
0.7013 0.7013 0.5000 Cl
0.8021 0.1979 0.3324 Cl
0.2013 0.7987 0.0000 Cl
0.1979 0.8021 0.3324 Cl
0.8021 0.1979 0.6676 Cl
0.5000 0.5000 0.3337 Li
0.0000 0.0000 0.1663 Li
0.5000 0.5000 0.6663 Li
0.0000 0.0000 0.8337 Li
0.5000 0.5000 0.0000 Pu
0.0000 0.0000 0.5000 Pu
```

Properties
**Symmetry**: P4_2/mnm
**Electronic total energy**: -4.967 eV per atom
**Excess energy over the best structure of this formula in the dataset**: 0.0 kJ/mol of formula units
**Energy relative to the elements, uncorrected**: -1.718 eV per atom

[6]
A relaxed structure of Rb2VCuS4. Source: the Alexandria database, functional PBE-GGA.

POSCAR file:
```
Rb2VCuS4
1.0
13.7743 0.0053 -0.0024
10.3994 6.5241 -0.0031
3.3750 -4.2382 4.9530
Rb S Cu V
4 8 2 2
Direct
0.6776 0.6776 0.3224 Rb
0.5724 0.5724 0.9276 Rb
0.3224 0.3224 0.6776 Rb
0.9276 0.9276 0.5724 Rb
0.2284 0.8763 0.5858 S
0.5858 0.3095 0.2284 S
0.3737 0.0216 0.9405 S
0.3095 0.5858 0.8763 S
0.8763 0.2284 0.3095 S
0.6642 0.9405 0.0216 S
0.9405 0.6642 0.3737 S
0.0216 0.3737 0.6642 S
0.2500 0.2500 0.2500 Cu
0.0000 0.0000 0.0000 Cu
0.7500 0.7500 0.7500 V
0.5000 0.5000 0.5000 V
```

Properties
**Symmetry**: Fddd
**Electronic total energy**: -4.994 eV per atom
**Excess energy over the best structure of this formula in the dataset**: 0.0 kJ/mol of formula units
**Energy relative to the elements, uncorrected**: -1.037 eV per atom